# PBE Ti3MnPb, relaxed
# spin magnetization = 1.3 μB per cell
# energy relative to the lowest polymorph listed for this composition = 203.9 meV/atom
# energy of formation = 0.230 eV per atom
data_Ti3MnPb
_chemical_formula_sum 'Ti3 Mn1 Pb1'
_symmetry_space_group_name_H-M 'P m -3 m'
_symmetry_Int_Tables_number 221
_symmetry_space_group_name_Hall '-P 4 2 3'
_cell_length_a 4.560
_cell_length_b 4.560
_cell_length_c 4.560
_cell_angle_alpha 90.00
_cell_angle_beta 90.00
_cell_angle_gamma 90.00
loop_
_atom_site_label
_atom_site_fract_x
_atom_site_fract_y
_atom_site_fract_z
Ti1 0.000 0.000 0.500
Mn1 0.000 0.000 0.000
Pb1 0.500 0.500 0.500